[1]
Material: BaCuTe2
Method: DFT, PBE-GGA
State: optimized geometry

Results
ΔE_f (raw), kJ/mol of formula units: -220
Magnetic moment, Bohr magnetons per cell: 0.00
Calculated total energy, eV per atom: -3.646

a = 7.6945 Å, b = 7.6945 Å, c = 7.6945 Å
α = 33.94°, β = 33.94°, γ = 33.94°
With the nearest neighbours (Å) after each atom.
Sites, in units of the cell vectors:
Ba 0.0000 0.0000 0.0000  6 Te 3.46
Cu 0.5000 0.5000 0.5000  6 Te 2.92
Te 0.2281 0.2281 0.2281  3 Cu 2.92
Te 0.7719 0.7719 0.7719  3 Cu 2.92

***

[2]
Material: BaCuTe2
Method: DFT, PBE-GGA
State: optimized geometry

Results
ΔE_f (raw), kJ/mol of formula units: -192
Magnetic moment, Bohr magnetons per cell: 0.00
Calculated total energy, eV per atom: -3.573

a = 4.1697 Å, b = 4.1697 Å, c = 7.8761 Å
α = 90.00°, β = 90.00°, γ = 90.00°
With the nearest neighbours (Å) after each atom.
Sites, in units of the cell vectors:
Ba 0.0000 0.0000 0.0000  5 Te 3.33-3.45
Cu 0.5000 0.5000 0.5238  1 Te 2.58
Te 0.0000 0.0000 0.5622  4 Cu 2.96
Te 0.5000 0.5000 0.1966  1 Cu 2.58

***

[3]
Material: BaCuTe2
Method: DFT, PBE-GGA
State: optimized geometry

Results
ΔE_f (raw), kJ/mol of formula units: -327
Magnetic moment, Bohr magnetons per cell: 0.00
Calculated total energy, eV per atom: -3.923

a = 4.6661 Å, b = 4.6661 Å, c = 11.0489 Å
α = 90.00°, β = 90.00°, γ = 90.00°
With the nearest neighbours (Å) after each atom.
Sites, in units of the cell vectors:
Ba 0.2500 0.2500 0.2405  8 Te 3.54-3.60, 4 Cu 3.70
Ba 0.7500 0.7500 0.7595  8 Te 3.54-3.60, 4 Cu 3.70
Cu 0.2500 0.7500 0.5000  4 Te 2.73
Cu 0.7500 0.2500 0.5000  4 Te 2.73
Te 0.2500 0.2500 0.6281  4 Cu 2.73
Te 0.2500 0.7500 0.0000  4 Te 3.30, 4 Ba 3.54
Te 0.7500 0.2500 0.0000  4 Te 3.30, 4 Ba 3.54
Te 0.7500 0.7500 0.3719  4 Cu 2.73

***

[4]
Material: BaCu3Te
Method: DFT, PBE-GGA
State: optimized geometry

Results
ΔE_f (raw), kJ/mol of formula units: 618
Polymorph energy (0 for the lowest one), meV/atom: 1040.1
Magnetic moment, Bohr magnetons per cell: 0.00
Calculated total energy, eV per atom: -2.190

a = 5.3918 Å, b = 5.3918 Å, c = 5.3918 Å
α = 90.00°, β = 90.00°, γ = 90.00°
With the nearest neighbours (Å) after each atom.
Sites, in units of the cell vectors:
Ba 0.0000 0.0000 0.0000  6 Cu 2.70
Cu 0.0000 0.0000 0.5000  2 Ba 2.70
Cu 0.0000 0.5000 0.0000  2 Ba 2.70
Cu 0.5000 0.0000 0.0000  2 Ba 2.70
Te 0.5000 0.5000 0.5000  12 Cu 3.81

***

[5]
Material: BaCuTe
Method: DFT, PBE-GGA
State: optimized geometry

Results
ΔE_f (raw), kJ/mol of formula units: -110
Polymorph energy (0 for the lowest one), meV/atom: 355.1
Magnetic moment, Bohr magnetons per cell: 0.51
Calculated total energy, eV per atom: -3.432

a = 6.4824 Å, b = 6.2247 Å, c = 4.0829 Å
α = 74.72°, β = 67.87°, γ = 37.41°
With the nearest neighbours (Å) after each atom.
Sites, in units of the cell vectors:
Ba 0.0000 0.0000 0.0000  3 Cu 3.32-3.49, 3 Te 3.37-3.45
Cu 0.2930 0.2930 0.7070  2 Te 2.79
Te 0.7021 0.7021 0.2979  2 Cu 2.79

***

[6]
Material: BaCuTe2
Method: DFT, PBE-GGA
State: optimized geometry

Results
ΔE_f (raw), kJ/mol of formula units: -84
Magnetic moment, Bohr magnetons per cell: 0.00
Calculated total energy, eV per atom: -3.294

a = 5.5537 Å, b = 5.5537 Å, c = 5.5537 Å
α = 60.00°, β = 60.00°, γ = 60.00°
With the nearest neighbours (Å) after each atom.
Sites, in units of the cell vectors:
Ba 0.0000 0.0000 0.0000  4 Te 3.40, 4 Cu 3.40
Cu 0.2500 0.2500 0.2500  4 Te 3.40, 4 Ba 3.40
Te 0.5000 0.5000 0.5000  4 Te 3.40, 4 Cu 3.40
Te 0.7500 0.7500 0.7500  4 Ba 3.40, 4 Te 3.40